No. 1
Below is a relaxed Ce4InPb2 crystal, with properties calculated at the PBE level.

Cell: 7.460 7.460 7.460 Å, 131.77 131.77 70.59°
Sites, in units of the cell vectors:
Ce (0.000, 0.500, 0.500)
Ce (0.250, 0.750, 0.500)
Ce (0.500, 0.000, 0.500)
Ce (0.750, 0.250, 0.500)
In (0.000, 0.000, 0.000)
Pb (0.368, 0.368, 0.000)
Pb (0.632, 0.632, 0.000)

Output
magnetic moment	0.852	μB/atom
SG	I4/mmm (139)
ΔH_f (0 K)	-0.010	eV/atom
E_tot	-4.851	eV per atom



No. 2
Below is a relaxed CeIn4Pb crystal, with properties calculated at the PBE level.

Cell: 6.180 6.180 6.180 Å, 60.00 60.00 60.00°
Sites, in units of the cell vectors:
Ce (0.000, 0.000, 0.000)
In (0.125, 0.625, 0.625)
In (0.625, 0.125, 0.625)
In (0.625, 0.625, 0.125)
In (0.625, 0.625, 0.625)
Pb (0.250, 0.250, 0.250)

Output
magnetic moment	0.233	μB/atom
SG	F-43m (216)
ΔH_f (0 K)	-0.089	eV/atom
E_tot	-3.522	eV per atom



No. 3
Below is a relaxed Ce5In3Pb3 crystal, with properties calculated at the PBE level.

Cell: 10.741 10.741 3.457 Å, 90.00 90.00 120.00°
Sites, in units of the cell vectors:
Ce (0.000, 0.655, 0.000)
Ce (0.333, 0.667, 0.000)
Ce (0.345, 0.345, 0.000)
Ce (0.655, 0.000, 0.000)
Ce (0.667, 0.333, 0.000)
In (0.000, 0.159, 0.000)
In (0.159, 0.000, 0.000)
In (0.841, 0.841, 0.000)
Pb (0.000, 0.397, 0.500)
Pb (0.397, 0.000, 0.500)
Pb (0.603, 0.603, 0.500)

Output
magnetic moment	0.765	μB/atom
SG	P-62m (189)
ΔH_f (0 K)	0.131	eV/atom
E_tot	-4.324	eV per atom



No. 4
Below is a relaxed Ce8InPb6 crystal, with properties calculated at the PBE level.

Cell: 8.535 8.535 8.535 Å, 68.20 68.20 68.20°
Sites, in units of the cell vectors:
Ce (0.122, 0.701, 0.404)
Ce (0.165, 0.165, 0.165)
Ce (0.299, 0.596, 0.878)
Ce (0.404, 0.122, 0.701)
Ce (0.596, 0.878, 0.299)
Ce (0.701, 0.404, 0.122)
Ce (0.835, 0.835, 0.835)
Ce (0.878, 0.299, 0.596)
In (0.500, 0.500, 0.500)
Pb (0.056, 0.428, 0.786)
Pb (0.214, 0.944, 0.572)
Pb (0.428, 0.786, 0.056)
Pb (0.572, 0.214, 0.944)
Pb (0.786, 0.056, 0.428)
Pb (0.944, 0.572, 0.214)

Output
magnetic moment	0.582	μB/atom
SG	R-3 (148)
ΔH_f (0 K)	-0.225	eV/atom
E_tot	-5.055	eV per atom



No. 5
Below is a relaxed CeIn2Pb crystal, with properties calculated at the PBE level.

Cell: 4.693 4.693 4.931 Å, 90.00 90.00 90.00°
Sites, in units of the cell vectors:
Ce (0.000, 0.000, 0.000)
In (0.000, 0.500, 0.500)
In (0.500, 0.000, 0.500)
Pb (0.500, 0.500, 0.000)

Output
magnetic moment	0.218	μB/atom
SG	P4/mmm (123)
ΔH_f (0 K)	-0.392	eV/atom
E above lowest polymorph	0	meV per atom
E_tot	-4.172	eV per atom



No. 6
Below is a relaxed Ce6InPb crystal, with properties calculated at the PBE level.

Cell: 4.820 4.820 9.632 Å, 90.00 90.00 90.00°
Sites, in units of the cell vectors:
Ce (0.000, 0.000, 0.000)
Ce (0.000, 0.000, 0.500)
Ce (0.000, 0.500, 0.248)
Ce (0.000, 0.500, 0.752)
Ce (0.500, 0.000, 0.248)
Ce (0.500, 0.000, 0.752)
In (0.500, 0.500, 0.000)
Pb (0.500, 0.500, 0.500)

Output
magnetic moment	0.705	μB/atom
SG	P4/mmm (123)
ΔH_f (0 K)	-0.231	eV/atom
E_tot	-5.488	eV per atom